# CuBiTeN2 | Alexandria | PBE | relaxed
data_CuBiTeN2
_chemical_formula_sum 'Cu1 Bi1 Te1 N2'
_symmetry_space_group_name_H-M 'P 4/m m m'
_symmetry_Int_Tables_number 123
_symmetry_space_group_name_Hall '-P 4 2'
_cell_length_a 4.263
_cell_length_b 4.263
_cell_length_c 6.501
_cell_angle_alpha 90.00
_cell_angle_beta 90.00
_cell_angle_gamma 90.00
loop_
_atom_site_label
_atom_site_type_symbol
_atom_site_fract_x
_atom_site_fract_y
_atom_site_fract_z
Cu1 Cu 0.000 0.000 0.000
Bi1 Bi 0.500 0.500 0.500
Te1 Te 0.500 0.500 0.000
N1 N 0.000 0.500 0.500
# Polymorph energy (0 for the lowest one) in meV per atom: 168

***

# CaNdLu2 | Alexandria | PBE | relaxed
data_CaNdLu2
_chemical_formula_sum 'Ca4 Nd4 Lu8'
_symmetry_space_group_name_H-M 'F m -3 m'
_symmetry_Int_Tables_number 225
_symmetry_space_group_name_Hall '-F 4 2 3'
_cell_length_a 8.086
_cell_length_b 8.086
_cell_length_c 8.086
_cell_angle_alpha 90.00
_cell_angle_beta 90.00
_cell_angle_gamma 90.00
loop_
_atom_site_label
_atom_site_type_symbol
_atom_site_fract_x
_atom_site_fract_y
_atom_site_fract_z
Ca1 Ca 0.000 0.000 0.000
Nd1 Nd 0.000 0.000 0.500
Lu1 Lu 0.250 0.250 0.250
# Polymorph energy (0 for the lowest one) in meV per atom: 78
# Formation enthalpy at 0 K in meV/atom: 166

***

Density functional theory data (PBE) for a geometry-optimized Ce3Mn4Si4 structure.

CIF file:
```
data_Ce3Mn4Si4
_chemical_formula_sum 'Ce6 Mn8 Si8'
_symmetry_space_group_name_H-M 'I -4 3 m'
_symmetry_Int_Tables_number 217
_symmetry_space_group_name_Hall 'I -4 2 3'
_cell_length_a 7.253
_cell_length_b 7.253
_cell_length_c 7.253
_cell_angle_alpha 90.00
_cell_angle_beta 90.00
_cell_angle_gamma 90.00
loop_
_atom_site_label
_atom_site_type_symbol
_atom_site_fract_x
_atom_site_fract_y
_atom_site_fract_z
Ce1 Ce 0.000 0.000 0.500
Mn1 Mn 0.124 0.124 0.876
Si1 Si 0.193 0.193 0.193
```

***

# SrPmHgPd | Alexandria | PBE | relaxed
data_SrPmHgPd
_chemical_formula_sum 'Sr4 Pm4 Hg4 Pd4'
_symmetry_space_group_name_H-M 'F -4 3 m'
_symmetry_Int_Tables_number 216
_symmetry_space_group_name_Hall 'F -4 2 3'
_cell_length_a 7.537
_cell_length_b 7.537
_cell_length_c 7.537
_cell_angle_alpha 90.00
_cell_angle_beta 90.00
_cell_angle_gamma 90.00
loop_
_atom_site_label
_atom_site_type_symbol
_atom_site_fract_x
_atom_site_fract_y
_atom_site_fract_z
Sr1 Sr 0.000 0.000 0.000
Pm1 Pm 0.000 0.000 0.500
Hg1 Hg 0.250 0.250 0.750
Pd1 Pd 0.250 0.250 0.250
# Formation enthalpy at 0 K in meV/atom: -515

***

Density functional theory data (PBE) for a geometry-optimized KTe2C structure.

CIF file:
```
data_KTe2C
_chemical_formula_sum 'K4 Te8 C4'
_symmetry_space_group_name_H-M 'I -4 2 d'
_symmetry_Int_Tables_number 122
_symmetry_space_group_name_Hall 'I -4 2bw'
_cell_length_a 7.402
_cell_length_b 7.402
_cell_length_c 8.622
_cell_angle_alpha 90.00
_cell_angle_beta 90.00
_cell_angle_gamma 90.00
loop_
_atom_site_label
_atom_site_type_symbol
_atom_site_fract_x
_atom_site_fract_y
_atom_site_fract_z
K1 K 0.000 0.000 0.000
Te1 Te 0.117 0.250 0.625
C1 C 0.000 0.000 0.500
```

***

# TlIn2SnPb4 | Alexandria | PBE | relaxed
data_TlIn2SnPb4
_chemical_formula_sum 'Tl1 In2 Sn1 Pb4'
_symmetry_space_group_name_H-M 'P 1 2/m 1'
_symmetry_Int_Tables_number 10
_cell_length_a 7.776
_cell_length_b 4.424
_cell_length_c 7.914
_cell_angle_alpha 90.00
_cell_angle_beta 108.89
_cell_angle_gamma 90.00
loop_
_symmetry_equiv_pos_as_xyz
'x,y,z'
'-x,-y,-z'
'-x,y,-z'
'x,-y,z'
loop_
_atom_site_label
_atom_site_type_symbol
_atom_site_fract_x
_atom_site_fract_y
_atom_site_fract_z
Tl1 Tl 0.000 0.000 0.000
In1 In 0.500 0.000 0.500
In2 In 0.500 0.500 0.000
Sn1 Sn 0.000 0.500 0.500
Pb1 Pb 0.255 0.000 0.736
Pb2 Pb 0.262 0.500 0.270
# Formation enthalpy at 0 K in meV/atom: 155

***

# MnBeZn2 | Alexandria | PBE | relaxed
data_MnBeZn2
_chemical_formula_sum 'Mn1 Be1 Zn2'
_symmetry_space_group_name_H-M 'P 4/m m m'
_symmetry_Int_Tables_number 123
_symmetry_space_group_name_Hall '-P 4 2'
_cell_length_a 3.606
_cell_length_b 3.606
_cell_length_c 3.730
_cell_angle_alpha 90.00
_cell_angle_beta 90.00
_cell_angle_gamma 90.00
loop_
_atom_site_label
_atom_site_type_symbol
_atom_site_fract_x
_atom_site_fract_y
_atom_site_fract_z
Mn1 Mn 0.000 0.000 0.000
Be1 Be 0.500 0.500 0.000
Zn1 Zn 0.000 0.500 0.500
# Formation enthalpy at 0 K in meV/atom: 43

***

# Nd7YHo12 | Alexandria | PBE | relaxed
data_Nd7YHo12
_chemical_formula_sum 'Nd21 Y3 Ho36'
_symmetry_space_group_name_H-M 'R -3'
_symmetry_Int_Tables_number 148
_symmetry_space_group_name_Hall '-R 3'
_cell_length_a 11.9829
_cell_length_b 11.9829
_cell_length_c 16.2810
_cell_angle_alpha 90.00
_cell_angle_beta 90.00
_cell_angle_gamma 120.00
loop_
_atom_site_label
_atom_site_type_symbol
_atom_site_fract_x
_atom_site_fract_y
_atom_site_fract_z
Nd1 Nd 0.0000 0.0000 0.0000
Nd2 Nd 0.0552 0.8676 0.2890
Y1 Y 0.0000 0.0000 0.5000
Ho1 Ho 0.0244 0.5760 0.2221
Ho2 Ho 0.0515 0.4652 0.5828
# Polymorph energy (0 for the lowest one) in meV per atom: 0
# Formation enthalpy at 0 K in meV/atom: 231

***

# Er8AgRu5 | Alexandria | PBE | relaxed
data_Er8AgRu5
_chemical_formula_sum 'Er16 Ag2 Ru10'
_symmetry_space_group_name_H-M 'I -4'
_symmetry_Int_Tables_number 82
_cell_length_a 8.577
_cell_length_b 8.577
_cell_length_c 8.433
_cell_angle_alpha 90.00
_cell_angle_beta 90.00
_cell_angle_gamma 90.00
loop_
_symmetry_equiv_pos_as_xyz
'x,y,z'
'y,-x,-z'
'-x,-y,z'
'-y,x,-z'
'x+1/2,y+1/2,z+1/2'
'y+1/2,-x+1/2,-z+1/2'
'-x+1/2,-y+1/2,z+1/2'
'-y+1/2,x+1/2,-z+1/2'
loop_
_atom_site_label
_atom_site_type_symbol
_atom_site_fract_x
_atom_site_fract_y
_atom_site_fract_z
Er1 Er 0.066 0.172 0.195
Er2 Er 0.072 0.314 0.578
Ag1 Ag 0.000 0.500 0.250
Ru1 Ru 0.000 0.000 0.500
Ru2 Ru 0.150 0.250 0.890
# Formation enthalpy at 0 K in meV/atom: -266

***

# ThCoH2 | Alexandria | PBE | relaxed
data_ThCoH2
_chemical_formula_sum 'Th1 Co1 H2'
_symmetry_space_group_name_H-M 'P -1'
_symmetry_Int_Tables_number 2
_cell_length_a 4.060
_cell_length_b 4.068
_cell_length_c 4.076
_cell_angle_alpha 113.98
_cell_angle_beta 99.16
_cell_angle_gamma 115.36
loop_
_symmetry_equiv_pos_as_xyz
'x,y,z'
'-x,-y,-z'
loop_
_atom_site_label
_atom_site_type_symbol
_atom_site_fract_x
_atom_site_fract_y
_atom_site_fract_z
Th1 Th 0.000 0.000 0.000
Co1 Co 0.500 0.000 0.500
H1 H 0.374 0.322 0.693
# Polymorph energy (0 for the lowest one) in meV per atom: 0

***

# Ce3P4Ru2 | Alexandria | PBE | relaxed
data_Ce3P4Ru2
_chemical_formula_sum 'Ce6 P8 Ru4'
_symmetry_space_group_name_H-M 'C 1 2/m 1'
_symmetry_Int_Tables_number 12
_cell_length_a 11.676
_cell_length_b 4.089
_cell_length_c 8.405
_cell_angle_alpha 90.00
_cell_angle_beta 118.75
_cell_angle_gamma 90.00
loop_
_symmetry_equiv_pos_as_xyz
'x,y,z'
'-x,-y,-z'
'-x,y,-z'
'x,-y,z'
'x+1/2,y+1/2,z'
'-x+1/2,-y+1/2,-z'
'-x+1/2,y+1/2,-z'
'x+1/2,-y+1/2,z'
loop_
_atom_site_label
_atom_site_type_symbol
_atom_site_fract_x
_atom_site_fract_y
_atom_site_fract_z
Ce1 Ce 0.000 0.000 0.000
Ce2 Ce 0.128 0.500 0.725
P1 P 0.095 0.000 0.393
P2 P 0.188 0.500 0.099
Ru1 Ru 0.183 0.500 0.371
# Formation enthalpy at 0 K in meV/atom: -1144

***

# LiB4C4 | Alexandria | PBE | relaxed
data_LiB4C4
_chemical_formula_sum 'Li2 B8 C8'
_symmetry_space_group_name_H-M 'C 1 2/m 1'
_symmetry_Int_Tables_number 12
_cell_length_a 10.926
_cell_length_b 2.764
_cell_length_c 4.833
_cell_angle_alpha 90.00
_cell_angle_beta 108.65
_cell_angle_gamma 90.00
loop_
_symmetry_equiv_pos_as_xyz
'x,y,z'
'-x,-y,-z'
'-x,y,-z'
'x,-y,z'
'x+1/2,y+1/2,z'
'-x+1/2,-y+1/2,-z'
'-x+1/2,y+1/2,-z'
'x+1/2,-y+1/2,z'
loop_
_atom_site_label
_atom_site_type_symbol
_atom_site_fract_x
_atom_site_fract_y
_atom_site_fract_z
Li1 Li 0.000 0.000 0.000
B1 B 0.168 0.000 0.457
B2 B 0.172 0.500 0.954
C1 C 0.161 0.500 0.283
C2 C 0.168 0.000 0.785
# Polymorph energy (0 for the lowest one) in meV per atom: 70
# Formation enthalpy at 0 K in meV/atom: 159

***

Calculated total energy (eV per atom), listed in the same order as above: -3.8765 -3.7868 -7.4197 -3.4972 -3.6805 -3.1801 -3.8177 -4.5079 -6.3900 -5.6677 -7.5872 -7.1213
Calculated D(E_F) (states/eV/cell), listed in the same order as above: 4.89 23.72 27.02 11.78 13.07 4.69 1.93 109.21 13.80 1.38 23.44 1.70